[1]
Entry from the Alexandria database: crystalline ScRhAu2 at its relaxed geometry (PBE).

- Calculated density: 12.79 g/cm3
- Energy of formation: -55 kJ per mole of atoms
- M_tot: 0.00 μB per cell
- VASP energy: -22.502 eV per cell

POSCAR file:
```
ScRhAu2
1.0
3.461 0.000 0.000
0.000 3.461 0.000
0.000 0.000 5.870
Sc Rh Au
1 1 2
Direct
0.000 0.000 0.000 Sc
0.500 0.500 0.778 Rh
0.000 0.000 0.522 Au
0.500 0.500 0.267 Au
```

=====

[2]
Entry from the Alexandria database: crystalline Cu2Au at its relaxed geometry (PBE).

- ΔE to the lowest computed polymorph: 52 meV/atom
- Calculated density: 12.81 g/cm3
- Energy of formation: 1 kJ per mole of atoms
- M_tot: 0.00 μB per cell
- VASP energy: -22.848 eV per cell

POSCAR file:
```
Cu2Au
1.0
0.000 3.477 3.477
3.477 0.000 3.477
3.477 3.477 0.000
Cu Au
4 2
Direct
0.000 0.000 0.000 Cu
0.000 0.000 0.500 Cu
0.000 0.500 0.000 Cu
0.500 0.000 0.000 Cu
0.375 0.375 0.375 Au
0.625 0.625 0.625 Au
```

=====

[3]
Entry from the Alexandria database: crystalline CaMo2Rh at its relaxed geometry (PBE).

- ΔE to the lowest computed polymorph: 84 meV/atom
- Calculated density: 7.82 g/cm3
- Energy of formation: 27 kJ per mole of atoms
- M_tot: 0.00 μB per cell
- VASP energy: -29.879 eV per cell

POSCAR file:
```
CaMo2Rh
1.0
1.735 -2.301 0.000
1.735 2.301 0.000
0.000 0.000 8.910
Ca Mo Rh
1 2 1
Direct
0.000 0.000 0.000 Ca
0.000 0.000 0.476 Mo
0.500 0.500 0.699 Mo
0.500 0.500 0.257 Rh
```